1.
Compound: NdRh2
Source: Alexandria
Functional: PBEsol
Structure: relaxed

Structure (POSCAR):
```
NdRh2
1.0
0.0000 3.7671 3.7671
3.7671 0.0000 3.7671
3.7671 3.7671 0.0000
Nd Rh
2 4
direct
0.1250 0.1250 0.1250 Nd
0.8750 0.8750 0.8750 Nd
0.0000 0.5000 0.5000 Rh
0.5000 0.0000 0.5000 Rh
0.5000 0.5000 0.0000 Rh
0.5000 0.5000 0.5000 Rh
```

Properties
* D(E_F): 0.4487 states/eV/atom
* space-group type: No. 227
* formation enthalpy at 0 K: -638 meV/atom


2.
Compound: Li4LaTl
Source: Alexandria
Functional: PBEsol
Structure: relaxed

Structure (POSCAR):
```
Li4LaTl
1.0
0.0000 3.9401 3.9401
3.9401 0.0000 3.9401
3.9401 3.9401 0.0000
Li La Tl
4 1 1
direct
0.3764 0.3764 0.3764 Li
0.3764 0.3764 0.8707 Li
0.3764 0.8707 0.3764 Li
0.8707 0.3764 0.3764 Li
0.0000 0.0000 0.0000 La
0.7500 0.7500 0.7500 Tl
```

Properties
* D(E_F): 0.1236 states/eV/atom
* space-group type: No. 216
* formation enthalpy at 0 K: -146 meV/atom


3.
Compound: ZnTcNi
Source: Alexandria
Functional: PBEsol
Structure: relaxed

Structure (POSCAR):
```
ZnTcNi
1.0
2.6276 0.0000 0.0000
-1.3138 2.2756 0.0000
0.0000 0.0000 6.3213
Zn Tc Ni
1 1 1
direct
0.0000 0.0000 0.0000 Zn
0.3333 0.6667 0.3623 Tc
0.6667 0.3333 0.6793 Ni
```

Properties
* D(E_F): 1.1543 states/eV/atom
* space-group type: No. 156
* formation enthalpy at 0 K: 23 meV/atom


4.
Compound: TaBe2Re
Source: Alexandria
Functional: PBEsol
Structure: relaxed

Structure (POSCAR):
```
TaBe2Re
1.0
-1.7616 1.7616 4.0309
1.7616 -1.7616 4.0309
1.7616 1.7616 -4.0309
Ta Be Re
1 2 1
direct
0.0000 0.0000 0.0000 Ta
0.5000 0.5000 0.0000 Be
0.7500 0.2500 0.5000 Be
0.2500 0.7500 0.5000 Re
```

Properties
* D(E_F): 0.5201 states/eV/atom
* space-group type: No. 119
* formation enthalpy at 0 K: 73 meV/atom


5.
Compound: HgTe3
Source: Alexandria
Functional: PBEsol
Structure: relaxed

Structure (POSCAR):
```
HgTe3
1.0
4.7494 0.0000 0.0000
0.0000 4.7494 0.0000
0.0000 0.0000 4.7494
Hg Te
1 3
direct
0.0000 0.0000 0.0000 Hg
0.0000 0.5000 0.5000 Te
0.5000 0.0000 0.5000 Te
0.5000 0.5000 0.0000 Te
```

Properties
* D(E_F): 0.9112 states/eV/atom
* formation energy without anion corrections: 0.31 eV/atom
* space-group type: No. 221


6.
Compound: ZrFeP3PbO12
Source: Alexandria
Functional: PBEsol
Structure: relaxed

Structure (POSCAR):
```
ZrFeP3PbO12
1.0
4.3587 2.5165 7.7405
-4.3587 2.5165 7.7405
0.0000 -5.0330 7.7405
Zr Fe P Pb O
2 2 6 2 24
direct
0.0000 0.0000 0.0000 Zr
0.5000 0.5000 0.5000 Zr
0.3007 0.3007 0.3007 Fe
0.8007 0.8007 0.8007 Fe
0.1018 0.4061 0.6771 P
0.1771 0.9061 0.6018 P
0.4061 0.6771 0.1018 P
0.6018 0.1771 0.9061 P
0.6771 0.1018 0.4061 P
0.9061 0.6018 0.1771 P
0.1590 0.1590 0.1590 Pb
0.6590 0.6590 0.6590 Pb
0.0096 0.8816 0.6319 O
0.0724 0.2340 0.8554 O
0.0804 0.4245 0.2035 O
0.1319 0.3816 0.5096 O
0.1514 0.9304 0.7670 O
0.2035 0.0804 0.4245 O
0.2340 0.8554 0.0724 O
0.2670 0.4304 0.6514 O
0.3554 0.7340 0.5724 O
0.3816 0.5096 0.1319 O
0.4245 0.2035 0.0804 O
0.4304 0.6514 0.2670 O
0.5096 0.1319 0.3816 O
0.5724 0.3554 0.7340 O
0.5804 0.7035 0.9245 O
0.6319 0.0096 0.8816 O
0.6514 0.2670 0.4304 O
0.7035 0.9245 0.5804 O
0.7340 0.5724 0.3554 O
0.7670 0.1514 0.9304 O
0.8554 0.0724 0.2340 O
0.8816 0.6319 0.0096 O
0.9245 0.5804 0.7035 O
0.9304 0.7670 0.1514 O
```

Properties
* formation energy without anion corrections: -2.25 eV/atom
* space-group type: No. 161